1.
## EuGdTlAg (PBE)

Data for an optimized crystal structure of EuGdTlAg.

## Properties
For the density, the calculation gives 9.3 g cm⁻³.

Cell: 5.402 5.402 5.402 Å, 60.00 60.00 60.00°
Last column: magnetic moment on the atom in μB.
Atoms (fractional coordinates):
Ag1 0.250 0.250 0.250  0.00
Gd1 0.500 0.500 0.500  7.05
Eu1 0.000 0.000 0.000  -6.80
Tl1 0.750 0.750 0.750  0.02

---

2.
## CeBrN (PBE)

Data for an optimized crystal structure of CeBrN.

## Properties
The calculation puts the uncorrected formation energy at -1.22 eV per atom. For the density, the calculation gives 4.8 g cm⁻³.

Cell: 3.459 7.414 7.028 Å, 116.17 90.00 90.05°
Last column: magnetic moment on the atom in μB.
Atoms (fractional coordinates):
Br1 0.564 0.333 0.774  -0.01
N1 0.563 0.173 0.198  -0.04
N2 0.563 0.956 0.098  -0.04
Br2 0.563 0.795 0.522  -0.01
Ce1 0.063 0.063 0.924  0.70
Ce2 0.063 0.065 0.372  0.70

---

Number 1: DOS at the Fermi energy 2.357 states/eV/atom, total DFT energy (no corrections) -7.72 eV per atom, V 27.87 Å³ per atom. Number 2: DOS at the Fermi energy 1.398 states/eV/atom, total DFT energy (no corrections) -6.53 eV per atom, V 26.96 Å³ per atom.